EuScNiIr: relaxed, PBE.

Energy relative to the elements = -35.7 kJ/mol of atoms
Volume = 75.13 Å³/cell
SG = F-43m, No. 216

a b c (Å): 4.7364 4.7364 4.7364
angles (deg): 60.00 60.00 60.00
Fractional positions:
1 Ni 0.5000 0.5000 0.5000
2 Ir 0.0000 0.0000 0.0000
3 Sc 0.7500 0.7500 0.7500
4 Eu 0.2500 0.2500 0.2500

=====

SrCdO2: relaxed, PBE.

Volume = 62.67 Å³/cell
SG = P4/mmm, No. 123
Final energy = -19.900 eV for the cell shown

a b c (Å): 3.5480 3.5480 4.9783
angles (deg): 90.00 90.00 90.00
Fractional positions:
1 Cd 0.5000 0.5000 0.5000
2 O 0.0000 0.0000 0.5000
3 O 0.5000 0.5000 0.0000
4 Sr 0.0000 0.0000 0.0000

=====

ScHRh3: relaxed, PBE.

Volume = 258.55 Å³/cell
SG = C2/c, No. 15
Final energy = -133.513 eV for the cell shown

a b c (Å): 10.4231 7.3050 7.3050
angles (deg): 78.16 123.69 56.31
Fractional positions:
1 Rh 0.9175 0.2687 0.3585
2 Rh 0.9228 0.0148 0.1141
3 Rh 0.4228 0.3859 0.4852
4 Rh 0.0912 0.2226 0.1572
5 Rh 0.4088 0.6572 0.7226
6 Rh 0.0772 0.9852 0.8859
7 Rh 0.5912 0.3428 0.2774
8 Rh 0.9088 0.7774 0.8428
9 Rh 0.5772 0.6141 0.5148
10 Rh 0.0825 0.7313 0.6415
11 Rh 0.5825 0.8585 0.7687
12 Rh 0.4175 0.1415 0.2313
13 Sc 0.5747 0.1483 0.0076
14 Sc 0.4253 0.8517 0.9924
15 Sc 0.9253 0.5076 0.6483
16 Sc 0.0747 0.4924 0.3517
17 H 0.7500 0.4468 0.9468
18 H 0.7500 0.1956 0.6956
19 H 0.2500 0.8044 0.3044
20 H 0.2500 0.5532 0.0532

=====

BaTaRh2: relaxed, PBE.

Energy relative to the elements = 29.0 kJ/mol of atoms
Volume = 93.26 Å³/cell
SG = Immm, No. 71

a b c (Å): 5.3307 5.3307 5.3307
angles (deg): 136.09 112.90 83.71
Fractional positions:
1 Ta 0.0000 0.5000 0.5000
2 Ba 0.5000 0.0000 0.5000
3 Rh 0.1949 0.1949 0.0000
4 Rh 0.8051 0.8051 0.0000

=====

LiErRh: relaxed, PBE.

Energy relative to the elements = -43.2 kJ/mol of atoms
Volume = 54.48 Å³/cell
SG = P3m1, No. 156

a b c (Å): 3.3208 4.3524 4.3524
angles (deg): 120.00 90.00 90.00
Fractional positions:
1 Rh 0.1678 0.0000 0.0000
2 Li 0.1656 0.6667 0.3333
3 Er 0.6666 0.3333 0.6667

=====

GeTeBrN2: relaxed, PBE.

Volume = 96.16 Å³/cell
SG = P4/mmm, No. 123
Final energy = -19.688 eV for the cell shown

a b c (Å): 4.0010 4.0010 6.0067
angles (deg): 90.00 90.00 90.00
Fractional positions:
1 Br 0.5000 0.5000 0.5000
2 Te 0.0000 0.0000 0.5000
3 Ge 0.0000 0.0000 0.0000
4 N 0.0000 0.5000 0.0000
5 N 0.5000 0.0000 0.0000